No. 1
Compound: NaTePtN2
Source: Alexandria
Functional: GGA-PBE
Structure: relaxed

## Properties
- uncorrected energy (eV per atom) = -4.443
- calculated volume (Å³/atom) = 18.720
- crystal system = tetragonal
- N(E_F) (states/eV per cell) = 5.68
- formation energy (no corrections) (eV/f.u.) = 4.94

Cell lengths 4.003, 4.003, 5.840 Å; angles 90.00, 90.00, 90.00 degrees
Fractional coordinates of all 5 atoms:
Na  0.000  0.000  0.000
Te  0.500  0.500  0.000
Pt  0.500  0.500  0.500
N  0.000  0.500  0.500
N  0.500  0.000  0.500

***

No. 2
Compound: LiTl2ZnAs2
Source: Alexandria
Functional: GGA-PBE
Structure: relaxed

## Properties
- formation energy (eV per atom) = -0.18
- uncorrected energy (eV per atom) = -3.049
- calculated volume (Å³/atom) = 23.403
- crystal system = orthorhombic
- N(E_F) (states/eV per cell) = 4.86

Cell lengths 8.480, 8.480, 8.480 Å; angles 138.61, 62.66, 135.16 degrees
Fractional coordinates of all 12 atoms:
Li  0.250  0.250  0.000
Li  0.750  0.750  0.000
Tl  0.176  0.237  0.414
Tl  0.324  0.737  0.061
Tl  0.676  0.263  0.939
Tl  0.824  0.763  0.586
Zn  0.250  0.750  0.500
Zn  0.750  0.250  0.500
As  0.100  0.732  0.832
As  0.400  0.232  0.632
As  0.600  0.768  0.368
As  0.900  0.268  0.168

***

No. 3
Compound: NaCa2Au2
Source: Alexandria
Functional: GGA-PBE
Structure: relaxed

## Properties
- formation energy (eV per atom) = -0.63
- uncorrected energy (eV per atom) = -3.010
- calculated volume (Å³/atom) = 26.413
- crystal system = tetragonal
- N(E_F) (states/eV per cell) = 4.50

Cell lengths 8.150, 8.150, 3.977 Å; angles 90.00, 90.00, 90.00 degrees
Fractional coordinates of all 10 atoms:
Na  0.000  0.000  0.000
Na  0.500  0.500  0.000
Ca  0.164  0.336  0.500
Ca  0.336  0.836  0.500
Ca  0.664  0.164  0.500
Ca  0.836  0.664  0.500
Au  0.130  0.630  0.000
Au  0.370  0.130  0.000
Au  0.630  0.870  0.000
Au  0.870  0.370  0.000

***

No. 4
Compound: GaSbAs2Se
Source: Alexandria
Functional: GGA-PBE
Structure: relaxed

## Properties
- uncorrected energy (eV per atom) = -3.476
- calculated volume (Å³/atom) = 24.061
- crystal system = tetragonal
- N(E_F) (states/eV per cell) = 4.96
- formation energy (no corrections) (eV/f.u.) = 2.55

Cell lengths 4.956, 4.956, 4.899 Å; angles 90.00, 90.00, 90.00 degrees
Fractional coordinates of all 5 atoms:
Ga  0.000  0.000  0.000
Sb  0.500  0.500  0.500
As  0.000  0.500  0.000
As  0.500  0.000  0.000
Se  0.000  0.000  0.500